Here is SrEr3Rh8 after structural relaxation from Alexandria via LeMat-Bulk. Energies are from PBE-GGA.

As for the space group: No. 156. For the total energy, the calculation gives -0.249 hartree per atom. Its crystal system is trigonal. The formation energy comes out at -0.604 eV/atom.

Lattice parameters (Å, degrees): 5.343 5.343 8.786 90.00 90.00 120.00
Fractional positions:
Sr 0.000 0.000 0.565
Er 0.667 0.333 0.433
Er 0.667 0.333 0.067
Er 0.000 0.000 0.930
Rh 0.333 0.667 0.500
Rh 0.333 0.667 0.000
Rh 0.502 0.005 0.757
Rh 0.502 0.498 0.757
Rh 0.995 0.498 0.757
Rh 0.165 0.330 0.245
Rh 0.165 0.835 0.245
Rh 0.670 0.835 0.245